Density functional theory data (PBE) for an optimized crystal structure of AcLaSc.

```
AcLaSc
1.0
3.712 0.000 0.000
-1.856 3.215 0.000
0.000 0.000 17.623
Ac La Sc
2 2 2
Cartesian
0.000 0.000 3.248
0.000 0.000 14.375
0.000 0.000 8.811
1.856 1.072 0.000
1.856 1.072 6.060
1.856 1.072 11.562
```

Calculated values
DOS at the Fermi energy: 1.65 states/eV/atom
electronic total energy: -29.89 eV per cell
energy above the most stable polymorph in this dataset: 45 meV per atom
symmetry: No. 187
energy of formation from the pure elements: 0.141 eV per atom
magnetic moment: 0.00 μB per formula unit
crystal system: hexagonal
V: 35.1 Å³/atom

---

Density functional theory data (PBE) for an optimized crystal structure of Ac4La5Sc.

```
Ac4La5Sc
1.0
9.374 -2.670 0.000
9.374 2.670 0.000
-3.595 0.000 8.134
Ac La Sc
4 5 1
Cartesian
-0.548 0.000 2.325
4.038 0.000 4.679
11.115 0.000 3.455
15.701 0.000 5.808
0.459 0.000 5.783
2.899 0.000 1.021
9.374 0.000 0.000
12.254 0.000 7.112
14.694 0.000 2.351
7.576 0.000 4.067
```

Calculated values
DOS at the Fermi energy: 1.48 states/eV/atom
electronic total energy: -44.88 eV per cell
symmetry: No. 12
energy of formation from the pure elements: 0.252 eV per atom
magnetic moment: 0.00 μB per formula unit
crystal system: monoclinic
V: 40.7 Å³/atom

---

Density functional theory data (PBE) for an optimized crystal structure of Ac2La6Sc.

```
Ac2La6Sc
1.0
10.298 0.000 0.000
-5.149 8.918 0.000
0.000 0.000 3.690
Ac La Sc
2 6 1
Cartesian
0.000 5.945 0.970
5.149 2.973 2.720
-3.355 6.181 2.841
1.473 2.922 2.841
3.267 0.185 0.848
1.881 8.733 2.841
3.676 5.996 0.848
8.503 2.737 0.848
0.000 0.000 1.845
```

Calculated values
DOS at the Fermi energy: 1.95 states/eV/atom
electronic total energy: -43.21 eV per cell
symmetry: No. 147
energy of formation from the pure elements: 0.101 eV per atom
magnetic moment: 0.00 μB per formula unit
crystal system: trigonal
V: 37.6 Å³/atom

---

Density functional theory data (PBE) for an optimized crystal structure of Ac2LaSc.

```
Ac2LaSc
1.0
0.000 4.216 4.216
4.216 0.000 4.216
4.216 4.216 0.000
Ac La Sc
2 1 1
Cartesian
2.108 2.108 2.108
6.324 6.324 6.324
0.000 0.000 0.000
4.216 4.216 4.216
```

Calculated values
DOS at the Fermi energy: 2.25 states/eV/atom
electronic total energy: -18.86 eV per cell
energy above the most stable polymorph in this dataset: 83 meV per atom
symmetry: No. 225
energy of formation from the pure elements: 0.154 eV per atom
magnetic moment: 0.00 μB per formula unit
crystal system: cubic
V: 37.5 Å³/atom

---

Density functional theory data (PBE) for an optimized crystal structure of Ac4La6Sc.

```
Ac4La6Sc
1.0
9.181 0.000 0.000
0.000 9.181 0.000
0.000 0.000 10.022
Ac La Sc
8 12 2
Cartesian
1.351 3.240 2.505
1.351 3.240 7.516
3.240 7.830 2.505
3.240 7.830 7.516
5.942 1.351 2.505
5.942 1.351 7.516
7.830 5.942 2.505
7.830 5.942 7.516
0.000 0.000 1.662
0.000 0.000 8.360
1.349 6.095 5.011
1.504 5.940 0.000
3.087 1.349 5.011
3.241 1.504 0.000
4.591 4.591 3.349
4.591 4.591 6.673
5.940 7.677 0.000
6.095 7.832 5.011
7.677 3.241 0.000
7.832 3.087 5.011
0.000 0.000 5.011
4.591 4.591 0.000
```

Calculated values
DOS at the Fermi energy: 1.46 states/eV/atom
electronic total energy: -102.39 eV per cell
symmetry: No. 128
energy of formation from the pure elements: 0.103 eV per atom
magnetic moment: 0.00 μB per formula unit
crystal system: tetragonal
V: 38.4 Å³/atom

---

Density functional theory data (PBE) for an optimized crystal structure of AcLa4Sc.

```
AcLa4Sc
1.0
5.321 0.000 0.000
0.000 5.321 0.000
0.000 0.000 9.275
Ac La Sc
1 4 1
Cartesian
0.000 0.000 0.000
0.000 2.661 2.737
0.000 2.661 6.538
2.661 0.000 2.737
2.661 0.000 6.538
2.661 2.661 4.638
```

Calculated values
DOS at the Fermi energy: 1.70 states/eV/atom
electronic total energy: -27.75 eV per cell
symmetry: No. 123
energy of formation from the pure elements: 0.400 eV per atom
magnetic moment: 0.00 μB per formula unit
crystal system: tetragonal
V: 43.8 Å³/atom

---

Density functional theory data (PBE) for an optimized crystal structure of Ac14LaSc.

```
Ac14LaSc
1.0
11.182 0.000 0.000
0.000 5.561 5.560
0.000 -5.561 5.560
Ac La Sc
14 1 1
Cartesian
0.000 0.000 11.117
0.000 -2.773 2.779
0.000 2.773 2.779
0.000 0.000 5.560
2.879 0.000 8.307
2.886 -2.748 5.560
2.886 2.748 5.560
2.892 0.000 2.812
5.591 -2.773 8.341
5.591 2.773 8.341
8.290 0.000 2.812
8.297 -2.748 5.560
8.297 2.748 5.560
8.303 0.000 8.307
5.591 0.000 11.121
5.591 0.000 5.560
```

Calculated values
DOS at the Fermi energy: 1.77 states/eV/atom
electronic total energy: -68.13 eV per cell
symmetry: No. 38
energy of formation from the pure elements: 0.041 eV per atom
magnetic moment: 0.00 μB per formula unit
crystal system: orthorhombic
V: 43.2 Å³/atom

---

Density functional theory data (PBE) for an optimized crystal structure of AcLaSmSc.

```
AcLaSmSc
1.0
0.000 4.128 4.128
4.128 0.000 4.128
4.128 4.128 0.000
Ac La Sm Sc
1 1 1 1
Cartesian
0.000 0.000 0.000
6.193 6.193 6.193
2.064 2.064 2.064
4.128 4.128 4.128
```

Calculated values
DOS at the Fermi energy: 2.53 states/eV/atom
electronic total energy: -19.29 eV per cell
symmetry: No. 216
energy of formation from the pure elements: 0.200 eV per atom
magnetic moment: 1.22 μB per formula unit
crystal system: cubic
V: 35.2 Å³/atom